This record from Alexandria via LeMat-Bulk describes a relaxed structure of InTcPt2. The functional is GGA-PBEsol.

Cell: 4.4787 4.4787 4.4787 Å, 60.00 60.00 60.00°
Last column: nearest neighbours and their distance in Å.
Fractional positions:
In  0.0000  0.0000  0.0000  4 Tc 2.74, 4 Pt 2.74
Tc  0.7500  0.7500  0.7500  4 In 2.74, 4 Pt 2.74
Pt  0.2500  0.2500  0.2500  4 In 2.74, 4 Pt 2.74
Pt  0.5000  0.5000  0.5000  4 Tc 2.74, 4 Pt 2.74

Energy = -6.970 eV per atom
Symmetry = No. 216


This record from Alexandria via LeMat-Bulk describes a relaxed structure of AcEuMg2. The functional is GGA-PBEsol.

Cell: 5.6752 5.6752 5.6752 Å, 60.00 60.00 60.00°
Last column: nearest neighbours and their distance in Å.
Fractional positions:
Ac  0.0000  0.0000  0.0000  8 Mg 3.48
Eu  0.5000  0.5000  0.5000  8 Mg 3.48
Mg  0.2500  0.2500  0.2500  4 Ac 3.48, 4 Eu 3.48
Mg  0.7500  0.7500  0.7500  4 Eu 3.48, 4 Ac 3.48

Energy = -4.710 eV per atom
Symmetry = No. 225


This record from Alexandria via LeMat-Bulk describes a relaxed structure of MgNi3F. The functional is GGA-PBEsol.

Cell: 3.9572 3.9572 3.9572 Å, 90.00 90.00 90.00°
Last column: nearest neighbours and their distance in Å.
Fractional positions:
Mg  0.0000  0.0000  0.0000  12 Ni 2.80
Ni  0.0000  0.5000  0.5000  2 F 1.98
Ni  0.5000  0.0000  0.5000  2 F 1.98
Ni  0.5000  0.5000  0.0000  2 F 1.98
F  0.5000  0.5000  0.5000  6 Ni 1.98

Energy above the most stable polymorph in this dataset = 0 meV per atom
Raw formation energy = 0.18 eV per atom
Symmetry = No. 221


This record from Alexandria via LeMat-Bulk describes a relaxed structure of AlTl. The functional is GGA-PBEsol.

Cell: 3.2291 3.2291 5.0776 Å, 90.00 90.00 120.00°
Last column: nearest neighbours and their distance in Å.
Fractional positions:
Al  0.0000  0.0000  0.0000  6 Tl 3.15, 6 Al 3.23
Tl  0.3333  0.6667  0.5000  6 Al 3.15, 6 Tl 3.23

Energy = -3.076 eV per atom
Symmetry = No. 187


This record from Alexandria via LeMat-Bulk describes a relaxed structure of Er6AgGe2S14. The functional is GGA-PBEsol.

Cell: 9.6577 9.6577 5.6283 Å, 90.00 90.00 120.00°
Last column: nearest neighbours and their distance in Å.
Fractional positions:
Er  0.0230  0.4648  0.0000  7 S 2.70-2.91
Er  0.3105  0.2006  0.5008  7 S 2.68-2.91
Er  0.4418  0.9770  0.0000  7 S 2.70-2.91
Er  0.5352  0.5582  0.0000  7 S 2.70-2.91
Er  0.7994  0.1098  0.5008  7 S 2.68-2.91
Er  0.8902  0.6895  0.5008  7 S 2.68-2.91
Ag  0.6667  0.3333  0.7740  6 S 2.61-2.63
Ge  0.0000  0.0000  0.9187  4 S 2.18-2.23
Ge  0.3333  0.6667  0.4242  4 S 2.18-2.23
S  0.0000  0.0000  0.3058  1 Ge 2.18
S  0.0892  0.2392  0.7534  1 Ge 2.23
S  0.1500  0.9108  0.7534  1 Ge 2.23
S  0.1826  0.7552  0.2579  1 Ge 2.23
S  0.2448  0.4274  0.2579  1 Ge 2.23
S  0.3333  0.6667  0.8110  1 Ge 2.18
S  0.4045  0.2357  0.0246  1 Ag 2.63, 3 Er 2.70-2.80
S  0.5050  0.0702  0.5304  1 Ag 2.61, 3 Er 2.68-2.76
S  0.5653  0.4950  0.5304  1 Ag 2.61, 3 Er 2.68-2.76
S  0.5726  0.8174  0.2579  1 Ge 2.23
S  0.7608  0.8500  0.7534  1 Ge 2.23
S  0.7643  0.1688  0.0246  1 Ag 2.63, 3 Er 2.70-2.80
S  0.8312  0.5955  0.0246  1 Ag 2.63, 3 Er 2.70-2.80
S  0.9298  0.4347  0.5304  1 Ag 2.61, 3 Er 2.68-2.76

Raw formation energy = -1.47 eV per atom
Symmetry = No. 143


This record from Alexandria via LeMat-Bulk describes a relaxed structure of Sr5Mg3. The functional is GGA-PBEsol.

Cell: 10.3060 10.3060 10.3060 Å, 96.33 96.33 141.22°
Last column: nearest neighbours and their distance in Å.
Fractional positions:
Sr  0.0799  0.7817  0.8616  6 Mg 3.61-3.96, 1 Sr 3.92
Sr  0.2183  0.0799  0.2982  6 Mg 3.61-3.96, 1 Sr 3.92
Sr  0.2500  0.7500  0.5000  2 Sr 3.42, 4 Mg 3.61
Sr  0.2817  0.5799  0.8616  6 Mg 3.61-3.96, 1 Sr 3.92
Sr  0.4201  0.2817  0.7018  6 Mg 3.61-3.96, 1 Sr 3.92
Sr  0.5799  0.7183  0.2982  6 Mg 3.61-3.96, 1 Sr 3.92
Sr  0.7183  0.4201  0.1384  6 Mg 3.61-3.96, 1 Sr 3.92
Sr  0.7500  0.2500  0.5000  2 Sr 3.42, 4 Mg 3.61
Sr  0.7817  0.9201  0.7018  6 Mg 3.61-3.96, 1 Sr 3.92
Sr  0.9201  0.2183  0.1384  6 Mg 3.61-3.96, 1 Sr 3.92
Mg  0.1634  0.3366  0.5000  10 Sr 3.61-3.96
Mg  0.2500  0.2500  0.0000  2 Mg 3.42, 8 Sr 3.62
Mg  0.3366  0.8366  0.1733  10 Sr 3.61-3.96
Mg  0.6634  0.1634  0.8267  10 Sr 3.61-3.96
Mg  0.7500  0.7500  0.0000  2 Mg 3.42, 8 Sr 3.62
Mg  0.8366  0.6634  0.5000  10 Sr 3.61-3.96

Energy above the most stable polymorph in this dataset = 0 meV per atom
Symmetry = No. 140


This record from Alexandria via LeMat-Bulk describes a relaxed structure of Zn3Au. The functional is GGA-PBEsol.

Cell: 4.6428 4.6428 2.8579 Å, 90.00 90.00 107.46°
Last column: nearest neighbours and their distance in Å.
Fractional positions:
Zn  0.0000  0.0000  0.0000  10 Zn 2.73-2.86, 2 Au 2.75
Zn  0.0000  0.5000  0.5000  8 Zn 2.73-2.86, 4 Au 2.73
Zn  0.5000  0.0000  0.5000  8 Zn 2.73-2.86, 4 Au 2.73
Au  0.5000  0.5000  0.0000  10 Zn 2.73-2.75, 2 Au 2.86

Energy = -2.265 eV per atom
Symmetry = No. 65


This record from Alexandria via LeMat-Bulk describes a relaxed structure of ScSiMo2. The functional is GGA-PBEsol.

Cell: 2.8050 2.8050 8.5052 Å, 90.00 90.00 108.43°
Last column: nearest neighbours and their distance in Å.
Fractional positions:
Sc  0.0000  0.0000  0.0000  2 Si 2.74, 4 Sc 2.81, 2 Mo 2.82
Si  0.5000  0.5000  0.2577  2 Mo 2.52, 2 Sc 2.74, 4 Si 2.81
Mo  0.0000  0.0000  0.4831  2 Si 2.52, 6 Mo 2.67-2.81
Mo  0.5000  0.5000  0.7303  6 Mo 2.67-2.81, 2 Sc 2.82

Raw formation energy = -0.07 eV per atom
Symmetry = No. 35


This record from Alexandria via LeMat-Bulk describes a relaxed structure of ErPb3. The functional is GGA-PBEsol.

Cell: 4.7727 4.7727 4.7727 Å, 90.00 90.00 90.00°
Last column: nearest neighbours and their distance in Å.
Fractional positions:
Er  0.0000  0.0000  0.0000  12 Pb 3.37
Pb  0.0000  0.5000  0.5000  8 Pb 3.37, 4 Er 3.37
Pb  0.5000  0.0000  0.5000  8 Pb 3.37, 4 Er 3.37
Pb  0.5000  0.5000  0.0000  8 Pb 3.37, 4 Er 3.37

Energy = -4.511 eV per atom
Symmetry = No. 221


This record from Alexandria via LeMat-Bulk describes a relaxed structure of Sb2AuO. The functional is GGA-PBEsol.

Cell: 4.6425 4.6425 4.6425 Å, 60.00 60.00 60.00°
Last column: nearest neighbours and their distance in Å.
Fractional positions:
Sb  0.2500  0.2500  0.2500  4 O 2.84, 4 Au 2.84
Sb  0.7500  0.7500  0.7500  4 O 2.84, 4 Au 2.84
Au  0.0000  0.0000  0.0000  8 Sb 2.84
O  0.5000  0.5000  0.5000  8 Sb 2.84

Energy above the most stable polymorph in this dataset = 250 meV per atom
Raw formation energy = 0.02 eV per atom
Symmetry = No. 225


This record from Alexandria via LeMat-Bulk describes a relaxed structure of RbNaSi2. The functional is GGA-PBEsol.

Cell: 5.2346 5.2346 5.2346 Å, 60.00 60.00 60.00°
Last column: nearest neighbours and their distance in Å.
Fractional positions:
Rb  0.0000  0.0000  0.0000  8 Si 3.21
Na  0.5000  0.5000  0.5000  8 Si 3.21
Si  0.2500  0.2500  0.2500  4 Na 3.21, 4 Rb 3.21
Si  0.7500  0.7500  0.7500  4 Na 3.21, 4 Rb 3.21

Raw formation energy = 0.73 eV per atom
Symmetry = No. 225


This record from Alexandria via LeMat-Bulk describes a relaxed structure of Ca4YSi. The functional is GGA-PBEsol.

Cell: 6.4977 6.4977 6.4977 Å, 60.00 60.00 60.00°
Last column: nearest neighbours and their distance in Å.
Fractional positions:
Ca  0.1251  0.1251  0.1251  6 Ca 3.25
Ca  0.1251  0.1251  0.6246  6 Ca 3.25
Ca  0.1251  0.6246  0.1251  6 Ca 3.25
Ca  0.6246  0.1251  0.1251  6 Ca 3.25
Y  0.7500  0.7500  0.7500  12 Ca 3.81, 4 Si 3.98
Si  0.5000  0.5000  0.5000  12 Ca 3.81, 4 Y 3.98

Raw formation energy = 0.50 eV per atom
Symmetry = No. 216


This record from Alexandria via LeMat-Bulk describes a relaxed structure of LiHgIr2. The functional is GGA-PBEsol.

Cell: 2.7991 4.5920 4.6819 Å, 90.00 90.00 90.00°
Last column: nearest neighbours and their distance in Å.
Fractional positions:
Li  0.0000  0.0000  0.0000  4 Hg 2.69, 4 Ir 2.73, 2 Li 2.80
Hg  0.5000  0.5000  0.0000  4 Li 2.69, 4 Ir 2.73, 2 Hg 2.80
Ir  0.0000  0.5000  0.5000  6 Ir 2.69-2.80, 4 Hg 2.73
Ir  0.5000  0.0000  0.5000  6 Ir 2.69-2.80, 4 Li 2.73

Energy = -5.433 eV per atom
Symmetry = No. 47


This record from Alexandria via LeMat-Bulk describes a relaxed structure of Ni3WSe. The functional is GGA-PBEsol.

Cell: 4.1850 4.1850 4.1850 Å, 90.00 90.00 90.00°
Last column: nearest neighbours and their distance in Å.
Fractional positions:
Ni  0.0000  0.0000  0.5000  2 Se 2.09
Ni  0.0000  0.5000  0.0000  2 Se 2.09
Ni  0.5000  0.0000  0.0000  2 Se 2.09
W  0.5000  0.5000  0.5000  12 Ni 2.96
Se  0.0000  0.0000  0.0000  6 Ni 2.09

Raw formation energy = 1.04 eV per atom
Symmetry = No. 221


no.,V (Å³/atom)
1,15.88
2,32.31
3,12.39
4,22.93
5,19.77
6,40.42
7,14.69
8,15.87
9,27.18
10,17.69
11,25.36
12,32.33
13,15.04
14,14.66